A plane-wave DFT calculation with GGA-PBE was carried out for crystalline CsNi3B at its relaxed geometry.

## Properties
space-group type = No. 221
energy above the most stable polymorph in this dataset = 0.000 eV/atom

a = 4.1956 Å, b = 4.1956 Å, c = 4.1956 Å
α = 90.00°, β = 90.00°, γ = 90.00°
With the nearest neighbours (Å) after each atom.
Element x y z (fractional)
Ni1 0.0000 0.0000 0.5000  2 B 2.10
Ni2 0.0000 0.5000 0.0000  2 B 2.10
Cs1 0.5000 0.5000 0.5000  12 Ni 2.97
Ni3 0.5000 0.0000 0.0000  2 B 2.10
B1 0.0000 0.0000 0.0000  6 Ni 2.10



A plane-wave DFT calculation with GGA-PBE was carried out for crystalline CsNiB3 at its relaxed geometry.

## Properties
space-group type = No. 221
energy above the most stable polymorph in this dataset = 0.000 eV/atom

a = 4.1619 Å, b = 4.1619 Å, c = 4.1619 Å
α = 90.00°, β = 90.00°, γ = 90.00°
With the nearest neighbours (Å) after each atom.
Element x y z (fractional)
Ni1 0.0000 0.0000 0.0000  6 B 2.08
B1 0.0000 0.5000 0.0000  2 Ni 2.08
Cs1 0.5000 0.5000 0.5000  12 B 2.94
B2 0.0000 0.0000 0.5000  2 Ni 2.08
B3 0.5000 0.0000 0.0000  2 Ni 2.08



A plane-wave DFT calculation with GGA-PBE was carried out for crystalline CsNiB3 at its relaxed geometry.

## Properties
space-group type = No. 221
energy above the most stable polymorph in this dataset = 2.272 eV/atom

a = 4.7910 Å, b = 4.7910 Å, c = 4.7910 Å
α = 90.00°, β = 90.00°, γ = 90.00°
With the nearest neighbours (Å) after each atom.
Element x y z (fractional)
Ni1 0.5000 0.5000 0.5000  12 B 3.39
B1 0.5000 0.0000 0.0000  2 Cs 2.40
B2 0.0000 0.0000 0.5000  2 Cs 2.40
Cs1 0.0000 0.0000 0.0000  6 B 2.40
B3 0.0000 0.5000 0.0000  2 Cs 2.40



A plane-wave DFT calculation with GGA-PBE was carried out for crystalline CsNi3B at its relaxed geometry.

## Properties
space-group type = No. 221
energy above the most stable polymorph in this dataset = 2.160 eV/atom

a = 4.7961 Å, b = 4.7961 Å, c = 4.7961 Å
α = 90.00°, β = 90.00°, γ = 90.00°
With the nearest neighbours (Å) after each atom.
Element x y z (fractional)
Ni1 0.0000 0.5000 0.0000  2 Cs 2.40
Cs1 0.0000 0.0000 0.0000  6 Ni 2.40
Ni2 0.5000 0.0000 0.0000  2 Cs 2.40
B1 0.5000 0.5000 0.5000  12 Ni 3.39
Ni3 0.0000 0.0000 0.5000  2 Cs 2.40



A plane-wave DFT calculation with GGA-PBE was carried out for crystalline CsTi2NiB at its relaxed geometry.

## Properties
space-group type = No. 123
E = -4.764 eV/atom

a = 4.2789 Å, b = 5.9070 Å, c = 4.2789 Å
α = 90.00°, β = 90.00°, γ = 90.00°
With the nearest neighbours (Å) after each atom.
Element x y z (fractional)
B1 0.0000 0.0000 0.0000  4 Ti 2.14
Cs1 0.0000 0.5000 0.0000  2 B 2.95, 4 Ni 3.03
Ni1 0.5000 0.5000 0.5000  4 Cs 3.03
Ti1 0.5000 0.0000 0.0000  2 B 2.14
Ti2 0.0000 0.0000 0.5000  2 B 2.14



A plane-wave DFT calculation with GGA-PBE was carried out for crystalline CsZnNi2B at its relaxed geometry.

## Properties
space-group type = No. 123
E = -1.440 eV/atom

a = 4.8682 Å, b = 6.1598 Å, c = 4.8682 Å
α = 90.00°, β = 90.00°, γ = 90.00°
With the nearest neighbours (Å) after each atom.
Element x y z (fractional)
Zn1 0.0000 0.5000 0.0000  2 Cs 3.08, 4 B 3.44
Ni1 0.0000 0.0000 0.5000  2 Cs 2.43
B1 0.5000 0.5000 0.5000  4 Zn 3.44
Ni2 0.5000 0.0000 0.0000  2 Cs 2.43
Cs1 0.0000 0.0000 0.0000  4 Ni 2.43



A plane-wave DFT calculation with GGA-PBE was carried out for crystalline CsNpB2O6 at its relaxed geometry.

## Properties
space-group type = No. 15
ΔE_f (raw) = -2531 meV/atom

a = 6.7344 Å, b = 6.7344 Å, c = 7.7839 Å
α = 103.50°, β = 103.50°, γ = 94.72°
With the nearest neighbours (Å) after each atom.
Element x y z (fractional)
Np1 0.3341 0.6659 0.7500  6 O 2.11-2.20
O1 0.2404 0.5752 0.4615  1 B 1.39
O2 0.3419 0.3132 0.2448  1 B 1.38
O3 0.5752 0.2404 0.9615  1 B 1.39
O4 0.4248 0.7596 0.0385  1 B 1.39
O5 0.3284 0.9847 0.7247  1 B 1.38
O6 0.9847 0.3284 0.2247  1 B 1.38
B1 0.8109 0.5957 0.6892  3 O 1.38-1.39
O7 0.6581 0.6868 0.7552  1 B 1.38
B2 0.1891 0.4043 0.3108  3 O 1.38-1.39
O8 0.6716 0.0153 0.2753  1 B 1.38
O9 0.6868 0.6581 0.2552  1 B 1.38
Cs1 0.1103 0.8897 0.2500  6 O 3.04-3.18, 2 B 3.37
Cs2 0.8897 0.1103 0.7500  6 O 3.04-3.18, 2 B 3.37
B3 0.5957 0.8109 0.1892  3 O 1.38-1.39
Np2 0.6659 0.3341 0.2500  6 O 2.11-2.20
B4 0.4043 0.1891 0.8108  3 O 1.38-1.39
O10 0.0153 0.6716 0.7753  1 B 1.38
O11 0.3132 0.3419 0.7448  1 B 1.38
O12 0.7596 0.4248 0.5385  1 B 1.39



A plane-wave DFT calculation with GGA-PBE was carried out for crystalline CsNpBS4 at its relaxed geometry.

## Properties
space-group type = No. 11
ΔE_f (raw) = -1033 meV/atom

a = 5.9403 Å, b = 6.4148 Å, c = 9.6358 Å
α = 90.00°, β = 111.06°, γ = 90.00°
With the nearest neighbours (Å) after each atom.
Element x y z (fractional)
S1 0.6097 0.2500 0.4511  1 B 1.95
S2 0.6270 0.2500 0.7921  1 B 1.92
S3 0.0149 0.0060 0.6975  1 B 1.94
Cs1 0.7089 0.7500 0.9340  8 S 3.45-3.84
B1 0.8080 0.2500 0.6618  4 S 1.92-1.95
Np1 0.2346 0.2500 0.5468  6 S 2.66-2.82
Cs2 0.2911 0.2500 0.0660  8 S 3.45-3.84
S4 0.3903 0.7500 0.5489  1 B 1.95
S5 0.9851 0.5060 0.3025  1 B 1.94
S6 0.9851 0.9940 0.3025  1 B 1.94
S7 0.3730 0.7500 0.2079  1 B 1.92
Np2 0.7654 0.7500 0.4532  6 S 2.66-2.82
B2 0.1920 0.7500 0.3382  4 S 1.92-1.95
S8 0.0149 0.4940 0.6975  1 B 1.94



A plane-wave DFT calculation with GGA-PBE was carried out for crystalline CsBO2 at its relaxed geometry.

## Properties
space-group type = No. 166
ΔE_f (raw) = -2119 meV/atom

a = 6.5224 Å, b = 6.5224 Å, c = 6.5224 Å
α = 37.59°, β = 37.59°, γ = 37.59°
With the nearest neighbours (Å) after each atom.
Element x y z (fractional)
B1 0.0000 0.0000 0.0000  2 O 1.26
O1 0.0696 0.0696 0.0696  1 B 1.26
O2 0.9304 0.9304 0.9304  1 B 1.26
Cs1 0.5000 0.5000 0.5000  6 O 3.00



A plane-wave DFT calculation with GGA-PBE was carried out for crystalline Cs3BO at its relaxed geometry.

## Properties
space-group type = No. 221
ΔE_f (raw) = 302 meV/atom

a = 5.8460 Å, b = 5.8460 Å, c = 5.8460 Å
α = 90.00°, β = 90.00°, γ = 90.00°
With the nearest neighbours (Å) after each atom.
Element x y z (fractional)
O1 0.0000 0.0000 0.0000  6 Cs 2.92
Cs1 0.0000 0.0000 0.5000  2 O 2.92
B1 0.5000 0.5000 0.5000  12 Cs 4.13
Cs2 0.0000 0.5000 0.0000  2 O 2.92
Cs3 0.5000 0.0000 0.0000  2 O 2.92



A plane-wave DFT calculation with GGA-PBE was carried out for crystalline Cs3B2O4 at its relaxed geometry.

## Properties
space-group type = No. 2
energy above the most stable polymorph in this dataset = 0.041 eV/atom
ΔE_f (raw) = -1880 meV/atom

a = 4.1583 Å, b = 7.8989 Å, c = 12.2558 Å
α = 125.44°, β = 70.34°, γ = 121.49°
With the nearest neighbours (Å) after each atom.
Element x y z (fractional)
O1 0.4798 0.7371 0.7575  1 B 1.28
O2 0.2071 0.1124 0.4054  1 B 1.27
B1 0.3617 0.1845 0.3227  2 O 1.27-1.28
O3 0.7929 0.8876 0.5946  1 B 1.27
Cs1 0.0000 0.0000 0.0000  4 O 3.21
O4 0.5202 0.2629 0.2425  1 B 1.28
B2 0.6383 0.8155 0.6773  2 O 1.27-1.28
Cs2 0.3438 0.6903 0.3437  6 O 3.25-3.31
Cs3 0.6562 0.3097 0.6563  6 O 3.25-3.31



Total moment for every record listed, in sequence, given in μB per formula unit: 0.000, 0.000, 0.486, 0.000, 0.000, 0.000, 2.000, 3.000, 0.000, 2.222, 0.000.